## BaCdMo2 (PBE)

Data for a geometry-optimized BaCdMo2 structure.

The structure in POSCAR format:
```
BaCdMo2
1.0
3.3545 0.0000 0.0000
0.0000 3.3350 0.0000
-0.2951 0.0000 8.4863
Ba Cd Mo
1 1 2
direct
0.0000 0.0000 0.0000 Ba
0.4824 0.5000 0.6736 Cd
0.5048 0.5000 0.3136 Mo
0.9544 0.0000 0.4508 Mo
```

Values from the calculation:
As for the density of states at the Fermi level: 1.146 states/eV per atom. The formation energy is 0.4366 eV per atom. The space group is Pm. The crystal system is monoclinic. The calculated total energy is -5.69 eV per atom. For the theoretical density, the calculation gives 7724 kg/m3.


## BaCdMo2 (PBE)

Data for a geometry-optimized BaCdMo2 structure.

The structure in POSCAR format:
```
BaCdMo2
1.0
-1.6638 2.8174 5.3547
1.6638 -2.8174 5.3547
1.6638 2.8174 -5.3547
Ba Cd Mo
1 1 2
direct
0.0000 0.0000 0.0000 Ba
0.2978 0.7978 0.5000 Cd
0.5594 0.5594 0.0000 Mo
0.7170 0.2170 0.5000 Mo
```

Values from the calculation:
As for the density of states at the Fermi level: 0.829 states/eV per atom. The formation energy is 0.7692 eV per atom. The space group is Imm2. The crystal system is orthorhombic. The calculated total energy is -5.36 eV per atom. For the theoretical density, the calculation gives 7304 kg/m3.


## BaCdMo2 (PBE)

Data for a geometry-optimized BaCdMo2 structure.

The structure in POSCAR format:
```
BaCdMo2
1.0
1.5037 0.8682 11.0709
-1.5037 0.8682 11.0709
0.0000 -1.7364 11.0709
Ba Cd Mo
1 1 2
direct
0.0000 0.0000 0.0000 Ba
0.5000 0.5000 0.5000 Cd
0.2398 0.2398 0.2398 Mo
0.7602 0.7602 0.7602 Mo
```

Values from the calculation:
As for the density of states at the Fermi level: 1.463 states/eV per atom. The formation energy is 1.2001 eV per atom. The space group is R-3m. The crystal system is trigonal. The calculated total energy is -4.92 eV per atom. For the theoretical density, the calculation gives 8456 kg/m3.


## BaCdMo2 (PBE)

Data for a geometry-optimized BaCdMo2 structure.

The structure in POSCAR format:
```
BaCdMo2
1.0
-4.2060 4.2060 2.8070
4.2060 -4.2060 2.8070
4.2060 4.2060 -2.8070
Ba Cd Mo
2 2 4
direct
0.0000 0.0000 0.0000 Ba
0.7500 0.2500 0.5000 Ba
0.2500 0.7500 0.5000 Cd
0.5000 0.5000 0.0000 Cd
0.1658 0.6250 0.0408 Mo
0.3750 0.4158 0.5408 Mo
0.5842 0.1250 0.9592 Mo
0.8750 0.8342 0.4592 Mo
```

Values from the calculation:
As for the density of states at the Fermi level: 1.321 states/eV per atom. The formation energy is 1.5717 eV per atom. The space group is I-42d. The crystal system is tetragonal. The calculated total energy is -4.55 eV per atom. For the theoretical density, the calculation gives 7384 kg/m3.


## BaCdMo2 (PBE)

Data for a geometry-optimized BaCdMo2 structure.

The structure in POSCAR format:
```
BaCdMo2
1.0
-2.1525 2.1525 4.8416
2.1525 -2.1525 4.8416
2.1525 2.1525 -4.8416
Ba Cd Mo
1 1 2
direct
0.0000 0.0000 0.0000 Ba
0.5000 0.5000 0.0000 Cd
0.2500 0.7500 0.5000 Mo
0.7500 0.2500 0.5000 Mo
```

Values from the calculation:
As for the density of states at the Fermi level: 1.102 states/eV per atom. The formation energy is 1.3260 eV per atom. The space group is I4/mmm. The crystal system is tetragonal. The calculated total energy is -4.80 eV per atom. For the theoretical density, the calculation gives 8173 kg/m3.


## BaCdMo2 (PBE)

Data for a geometry-optimized BaCdMo2 structure.

The structure in POSCAR format:
```
BaCdMo2
1.0
-1.4388 2.7642 5.6236
1.4388 -2.7642 5.6236
1.4388 2.7642 -5.6236
Ba Cd Mo
1 1 2
direct
0.0000 0.0000 0.0000 Ba
0.5000 0.5000 0.0000 Cd
0.2695 0.7695 0.5000 Mo
0.7305 0.2305 0.5000 Mo
```

Values from the calculation:
As for the density of states at the Fermi level: 1.011 states/eV per atom. The formation energy is 1.1190 eV per atom. The space group is Immm. The crystal system is orthorhombic. The calculated total energy is -5.01 eV per atom. For the theoretical density, the calculation gives 8197 kg/m3.


## BaCdMo2 (PBE)

Data for a geometry-optimized BaCdMo2 structure.

The structure in POSCAR format:
```
BaCdMo2
1.0
4.2443 -1.5939 0.0000
4.2443 1.5939 0.0000
-1.0178 0.0000 7.5597
Ba Cd Mo
1 1 2
direct
0.0000 0.0000 0.0000 Ba
0.2377 0.2377 0.6517 Cd
0.4930 0.4930 0.4360 Mo
0.7720 0.7720 0.3165 Mo
```

Values from the calculation:
As for the density of states at the Fermi level: 1.285 states/eV per atom. The formation energy is 0.6916 eV per atom. The space group is Cm. The crystal system is monoclinic. The calculated total energy is -5.43 eV per atom. For the theoretical density, the calculation gives 7170 kg/m3.


## BaCdMo2 (PBE)

Data for a geometry-optimized BaCdMo2 structure.

The structure in POSCAR format:
```
BaCdMo2
1.0
2.9300 0.0000 0.0000
0.0000 5.4264 0.0000
0.0000 0.0000 5.5188
Ba Cd Mo
1 1 2
direct
0.0000 0.0000 0.0000 Ba
0.5000 0.0000 0.5000 Cd
0.0000 0.5000 0.5000 Mo
0.5000 0.5000 0.0000 Mo
```

Values from the calculation:
As for the density of states at the Fermi level: 1.076 states/eV per atom. The formation energy is 1.1833 eV per atom. The space group is Pmmm. The crystal system is orthorhombic. The calculated total energy is -4.94 eV per atom. For the theoretical density, the calculation gives 8357 kg/m3.


## BaCdMo2 (PBE)

Data for a geometry-optimized BaCdMo2 structure.

The structure in POSCAR format:
```
BaCdMo2
1.0
5.2658 -1.6897 0.0000
5.2658 1.6897 0.0000
-1.2542 0.0000 6.0600
Ba Cd Mo
1 1 2
direct
0.0000 0.0000 0.0000 Ba
0.5000 0.5000 0.5000 Cd
0.2280 0.2280 0.6232 Mo
0.7720 0.7720 0.3768 Mo
```

Values from the calculation:
As for the density of states at the Fermi level: 1.083 states/eV per atom. The formation energy is 0.7177 eV per atom. The space group is C2/m. The crystal system is monoclinic. The calculated total energy is -5.41 eV per atom. For the theoretical density, the calculation gives 6800 kg/m3.